Density functional theory data (PBE-GGA) for GaCuAg after structural relaxation.

Calculated values
ΔH_f (0 K)   -10 kJ/mol of formula units
Total magnetization   0.00 μB/f.u.
Offset from the most stable computed form   0.0 meV/atom

Lattice parameters (Å, degrees): 3.042 4.649 7.138 97.87 90.24 109.06
Element x y z (fractional)
Ga1 0.099 0.195 0.208
Ga2 0.901 0.805 0.792
Cu1 0.364 0.727 0.072
Cu2 0.636 0.273 0.928
Ag1 0.154 0.305 0.608
Ag2 0.846 0.695 0.392